The following is a GGA-PBE calculation of crystalline Er2MgAg4 at its relaxed geometry, from Alexandria via LeMat-Bulk.

The structure in CIF format:
```
data_Er2MgAg4
_cell_length_a 4.7294
_cell_length_b 4.7294
_cell_length_c 25.5015
_cell_angle_alpha 90.00
_cell_angle_beta 90.00
_cell_angle_gamma 120.00
_space_group_name_H-M_alt 'R -3 m'
_space_group_IT_number 166
_space_group_name_Hall '-R 3 2"'
loop_
_atom_site_label
_atom_site_type_symbol
_atom_site_fract_x
_atom_site_fract_y
_atom_site_fract_z
Er1 Er 0.0000 0.0000 0.2487
Mg1 Mg 0.0000 0.0000 0.0000
Ag1 Ag 0.0000 0.0000 0.1322
Ag2 Ag 0.0000 0.0000 0.3648
```

Size of the total moment (μB/cell): 0.00
Formation energy (eV per atom): -0.099